DFT (PBE-GGA) results for a relaxed structure of BiP2PtCl.

Cell and atoms, written as extended XYZ:
```
5
Lattice="-2.359 -1.622 4.462 4.220 -3.000 1.141 2.088 3.896 2.520" Properties=species:S:1:pos:R:3 pbc="T T T"
Bi 0.000 0.000 0.000
P -1.180 -0.811 2.231
P 2.110 -1.500 0.570
Cl 1.044 1.948 1.260
Pt 1.975 -0.363 4.062
```

Values from the calculation:
Space-group type   P4/mmm
Uncorrected formation energy   1.3781 eV per atom
Crystal system   tetragonal
Total magnetization   0.32 μB/f.u.
Uncorrected energy   -15.698 eV/f.u.
Calculated volume   28.606 A^3/atom

DFT (PBE-GGA) results for a relaxed structure of Hf5SbN.

Cell and atoms, written as extended XYZ:
```
14
Lattice="6.346 -0.153 -0.401 1.868 6.067 -0.401 2.495 1.796 7.537" Properties=species:S:1:pos:R:3 pbc="T T T"
Hf 7.564 6.567 4.169
Hf 3.146 1.143 2.567
Hf 4.102 6.910 5.252
Hf 7.380 4.191 0.401
Hf 6.607 0.800 1.484
Hf 3.906 5.137 -0.145
Hf 3.351 4.738 3.112
Hf 7.358 2.972 3.624
Hf 3.329 3.519 6.335
Hf 6.804 2.573 6.881
N 1.247 0.898 3.768
N 0.000 0.000 0.000
Sb 5.725 4.656 5.252
Sb 4.985 3.054 1.484
```

Values from the calculation:
Space-group type   C2/c
Uncorrected formation energy   -0.3801 eV per atom
Crystal system   monoclinic
Total magnetization   0.00 μB/f.u.
Uncorrected energy   -64.876 eV/f.u.
Calculated volume   21.557 A^3/atom

DFT (PBE-GGA) results for a relaxed structure of DyNbClO4.

Cell and atoms, written as extended XYZ:
```
14
Lattice="-1.052 3.424 -5.816 -5.735 3.596 -0.913 2.019 6.535 1.700" Properties=species:S:1:pos:R:3 pbc="T T T"
O -1.666 8.406 -1.886
O -0.895 5.595 -1.051
O -3.872 7.960 -3.978
O -3.941 10.529 -2.214
O -2.743 3.097 -0.809
O -2.025 10.459 -4.220
O -0.826 3.027 -2.815
O -3.101 5.149 -3.143
Nb -2.871 9.213 -3.065
Nb -1.896 4.342 -1.963
Cl 0.111 0.987 0.071
Cl -4.878 12.568 -5.100
Dy -0.211 7.619 -0.468
Dy -4.556 5.937 -4.560
```

Values from the calculation:
Space-group type   C2/m
Uncorrected formation energy   -2.5149 eV per atom
Crystal system   monoclinic
Total magnetization   0.00 μB/f.u.
Uncorrected energy   -53.956 eV/f.u.
Calculated volume   19.610 A^3/atom

DFT (PBE-GGA) results for a relaxed structure of RbTeSe.

Cell and atoms, written as extended XYZ:
```
3
Lattice="-2.188 1.486 -4.521 2.853 -3.300 -2.466 -4.499 -1.375 1.726" Properties=species:S:1:pos:R:3 pbc="T T T"
Se -2.509 -1.703 -0.623
Te -0.291 0.198 -0.602
Rb -1.034 -1.683 -4.036
```

Values from the calculation:
Space-group type   P3m1
Uncorrected formation energy   -0.4464 eV per atom
Crystal system   trigonal
Total magnetization   0.00 μB/f.u.
Uncorrected energy   -8.933 eV/f.u.
Calculated volume   37.966 A^3/atom